(a)
The following is a PBE calculation of a geometry-optimized LaTa2Ni structure, from Alexandria.

Cell and atoms, written as POSCAR:
```
LaTa2Ni
1.0
2.950 0.004 0.000
-0.004 2.950 0.000
0.000 0.000 8.879
La Ni Ta
1 1 2
Direct
0.500 0.500 0.250
0.500 0.500 0.750
0.000 0.000 0.939
0.000 0.000 0.561
```

=====

(b)
The following is a PBE calculation of a geometry-optimized LaTa2Ni structure, from Alexandria.

Cell and atoms, written as POSCAR:
```
LaTa2Ni
1.0
-1.196 6.135 0.555
-3.910 4.892 0.390
-0.859 1.276 4.512
La Ni Ta
1 1 2
Direct
0.750 0.750 0.750
0.250 0.250 0.250
0.961 0.961 0.039
0.539 0.539 0.461
```

=====

(c)
The following is a PBE calculation of a geometry-optimized LaTa2Ni structure, from Alexandria.

Cell and atoms, written as POSCAR:
```
LaTa2Ni
1.0
5.995 -0.057 0.091
-3.454 4.900 0.091
0.691 1.316 2.773
La Ni Ta
1 1 2
Direct
0.500 0.000 0.500
0.000 0.500 0.500
0.000 0.000 0.000
0.500 0.500 0.000
```

=====

(d)
The following is a PBE calculation of a geometry-optimized LaTa2Ni structure, from Alexandria.

Cell and atoms, written as POSCAR:
```
LaTa2Ni
1.0
3.247 0.000 0.000
0.000 4.685 0.000
0.000 0.000 5.170
La Ni Ta
1 1 2
Direct
0.500 0.000 0.500
0.000 0.500 0.500
0.000 0.000 0.000
0.500 0.500 0.000
```

=====

How do the structures above rank in stability at the extremes? (b) comes first and (c) comes last.